one) InHSe2: optimized geometry, PBEsol.

Output
space-group type: Pc

a b c (Å): 4.042 6.859 6.810
angles (deg): 91.44 90.00 90.00
Positions (direct):
1 H 0.547 0.739 0.120
2 H 0.453 0.239 0.120
3 In 0.241 0.429 0.488
4 In 0.759 0.929 0.488
5 Se 0.787 0.908 0.118
6 Se 0.256 0.098 0.672
7 Se 0.213 0.408 0.118
8 Se 0.744 0.598 0.672

---

two) InHSe2: optimized geometry, PBEsol.

Output
space-group type: R-3m

a b c (Å): 4.047 4.047 6.815
angles (deg): 72.73 72.73 60.00
Positions (direct):
1 H 0.000 0.000 0.000
2 In 0.500 0.500 0.500
3 Se 0.092 0.092 0.725
4 Se 0.908 0.908 0.275

---

three) InHSe2: optimized geometry, PBEsol.

Output
space-group type: I-42d

a b c (Å): 5.486 5.486 6.684
angles (deg): 114.23 114.23 90.00
Positions (direct):
1 Se 0.442 0.875 0.250
2 Se 0.808 0.375 0.250
3 Se 0.625 0.558 0.750
4 Se 0.125 0.192 0.750
5 In 0.250 0.750 0.500
6 In 0.000 0.000 0.000
7 H 0.500 0.500 0.000
8 H 0.750 0.250 0.500

---

Least stable structure: three)

---

one) InSi3H: optimized geometry, PBEsol.

Output
space-group type: Pm-3m

a b c (Å): 5.110 5.110 5.110
angles (deg): 90.00 90.00 90.00
Last column: magnetic moment on the atom in μB.
Positions (direct):
1 H 0.500 0.500 0.500  0.22
2 Si 0.000 0.500 0.000  0.00
3 Si 0.500 0.000 0.000  0.00
4 Si 0.000 0.000 0.500  0.00
5 In 0.000 0.000 0.000  0.01

---

two) InSi3H: optimized geometry, PBEsol.

Output
space-group type: Pm-3m

a b c (Å): 4.159 4.159 4.159
angles (deg): 90.00 90.00 90.00
Positions (direct):
1 In 0.500 0.500 0.500
2 Si 0.000 0.500 0.000
3 Si 0.000 0.000 0.500
4 Si 0.500 0.000 0.000
5 H 0.000 0.000 0.000

---

Least stable structure: one)

---

one) ScHIr3: optimized geometry, PBEsol.

Output
space-group type: Pm-3m

a b c (Å): 3.950 3.950 3.950
angles (deg): 90.00 90.00 90.00
Positions (direct):
1 Ir 0.000 0.000 0.500
2 Ir 0.000 0.500 0.000
3 Ir 0.500 0.000 0.000
4 Sc 0.500 0.500 0.500
5 H 0.000 0.000 0.000

---

two) ScHIr3: optimized geometry, PBEsol.

Output
space-group type: Ima2

a b c (Å): 5.549 5.549 5.549
angles (deg): 91.10 119.25 119.48
Positions (direct):
1 Sc 0.450 0.718 0.231
2 Sc 0.487 0.218 0.769
3 Ir 0.468 0.719 0.750
4 Ir 0.968 0.718 0.250
5 Ir 0.966 0.218 0.247
6 Ir 0.971 0.718 0.753
7 Ir 0.968 0.219 0.751
8 Ir 0.468 0.218 0.249
9 H 0.470 0.469 0.501
10 H 0.968 0.969 0.499

---

Least stable structure: one)

---

one) K2HS2NO6: optimized geometry, PBEsol.

Output
space-group type: Cc

a b c (Å): 7.161 7.289 7.289
angles (deg): 118.29 89.78 90.22
Positions (direct):
1 N 0.758 0.429 0.433
2 N 0.258 0.567 0.571
3 O 0.016 0.156 0.266
4 O 0.971 0.790 0.684
5 O 0.760 0.343 0.051
6 O 0.215 0.658 0.944
7 O 0.112 0.682 0.342
8 O 0.419 0.370 0.718
9 O 0.260 0.949 0.657
10 O 0.471 0.316 0.210
11 O 0.715 0.056 0.342
12 O 0.516 0.734 0.844
13 O 0.919 0.282 0.630
14 O 0.612 0.658 0.318
15 S 0.861 0.215 0.416
16 S 0.361 0.584 0.785
17 S 0.644 0.436 0.238
18 S 0.144 0.762 0.564
19 K 0.847 0.704 0.006
20 K 0.347 0.994 0.296
21 K 0.639 0.017 0.703
22 K 0.139 0.297 0.983
23 H 0.335 0.479 0.435
24 H 0.835 0.565 0.521

---

two) K2HS2NO6: optimized geometry, PBEsol.

Output
space-group type: Pc

a b c (Å): 7.532 7.132 7.133
angles (deg): 111.27 90.00 90.00
Positions (direct):
1 H 0.002 0.162 0.539
2 H 0.998 0.662 0.539
3 S 0.181 0.432 0.684
4 S 0.819 0.932 0.684
5 S 0.765 0.560 0.315
6 S 0.235 0.060 0.315
7 O 0.636 0.468 0.409
8 O 0.679 0.674 0.206
9 O 0.776 0.080 0.591
10 O 0.974 0.987 0.814
11 O 0.026 0.487 0.814
12 O 0.224 0.580 0.591
13 O 0.664 0.883 0.781
14 O 0.321 0.174 0.206
15 O 0.100 0.919 0.200
16 O 0.900 0.419 0.200
17 O 0.364 0.968 0.409
18 O 0.336 0.383 0.781
19 N 0.888 0.726 0.497
20 N 0.112 0.226 0.497
21 K 0.748 0.050 0.201
22 K 0.679 0.482 0.787
23 K 0.321 0.982 0.787
24 K 0.252 0.550 0.201

---

Least stable structure: two)

---

one) KHSN2: optimized geometry, PBEsol.

Output
space-group type: P4/mmm

a b c (Å): 5.769 5.769 6.021
angles (deg): 90.00 90.00 90.00
Last column: magnetic moment on the atom in μB.
Positions (direct):
1 K 0.000 0.000 0.000  0.02
2 N 0.500 0.000 0.000  1.82
3 N 0.000 0.500 0.000  1.82
4 H 0.500 0.500 0.500  0.37
5 S 0.000 0.000 0.500  0.76

---

two) KHSN2: optimized geometry, PBEsol.

Output
space-group type: P4/mmm

a b c (Å): 3.222 4.439 4.439
angles (deg): 90.00 90.00 90.00
Last column: magnetic moment on the atom in μB.
Positions (direct):
1 K 0.500 0.500 0.500  0.02
2 S 0.500 0.000 0.000  -0.02
3 N 0.000 0.000 0.500  1.18
4 N 0.000 0.500 0.000  1.18
5 H 0.000 0.000 0.000  0.01

---

Least stable structure: one)

---

one) LaH3O3: optimized geometry, PBEsol.

Output
space-group type: P2_1/c

a b c (Å): 4.950 6.115 11.245
angles (deg): 90.00 90.00 98.86
Positions (direct):
1 La 0.107 0.647 0.851
2 La 0.893 0.353 0.149
3 La 0.893 0.853 0.351
4 La 0.107 0.147 0.649
5 H 0.165 0.815 0.098
6 H 0.484 0.157 0.354
7 H 0.321 0.570 0.290
8 H 0.835 0.685 0.598
9 H 0.321 0.070 0.210
10 H 0.679 0.430 0.710
11 H 0.516 0.343 0.854
12 H 0.484 0.657 0.146
13 H 0.835 0.185 0.902
14 H 0.516 0.843 0.646
15 H 0.165 0.315 0.402
16 H 0.679 0.930 0.790
17 O 0.127 0.541 0.322
18 O 0.873 0.459 0.678
19 O 0.391 0.384 0.789
20 O 0.609 0.116 0.289
21 O 0.127 0.041 0.178
22 O 0.873 0.959 0.822
23 O 0.193 0.671 0.059
24 O 0.193 0.171 0.441
25 O 0.807 0.829 0.559
26 O 0.391 0.884 0.711
27 O 0.609 0.616 0.211
28 O 0.807 0.329 0.941

---

two) LaH3O3: optimized geometry, PBEsol.

Output
space-group type: P6_3/m

a b c (Å): 3.785 6.472 6.472
angles (deg): 120.00 90.00 90.00
Positions (direct):
1 La 0.750 0.667 0.333
2 La 0.250 0.333 0.667
3 H 0.750 0.136 0.278
4 H 0.250 0.858 0.136
5 H 0.750 0.142 0.864
6 H 0.750 0.722 0.858
7 H 0.250 0.278 0.142
8 H 0.250 0.864 0.722
9 O 0.250 0.919 0.308
10 O 0.250 0.692 0.611
11 O 0.250 0.389 0.081
12 O 0.750 0.308 0.389
13 O 0.750 0.081 0.692
14 O 0.750 0.611 0.919

---

Least stable structure: one)